The following is a PBE calculation of a geometry-optimized Hf2BeTe structure, from Alexandria.

POSCAR file:
```
Hf2BeTe
1.0
1.859 1.074 6.753
-1.859 1.074 6.753
0.000 -2.147 6.753
Hf Be Te
2 1 1
direct
0.233 0.233 0.233
0.767 0.767 0.767
0.500 0.500 0.500
0.000 0.000 0.000
```

- offset from the most stable computed form (meV per atom) = 0
- V (Å³ per atom) = 20.22
- symmetry = R-3m, No. 166
- energy (eV per atom) = -6.947
- raw formation energy (meV/atom) = -254